# Hg3PdCl

An optimized crystal structure of Hg3PdCl (PBE, Alexandria).

Structure (extended XYZ):
```
5
Lattice="5.279 0.000 0.000 0.000 5.279 0.000 0.000 0.000 5.279" Properties=species:S:1:pos:R:3 pbc="T T T"
Hg 0.000 2.640 0.000
Hg 2.640 0.000 0.000
Hg 0.000 0.000 2.640
Pd 0.000 0.000 0.000
Cl 2.640 2.640 2.640
```

Properties
The calculation puts the energy above the most stable polymorph in this dataset at 0.000 eV per atom. The total energy comes out at -8.511 eV for the cell shown. The value obtained for the density of states at the Fermi level is 0.32 states/eV per atom. The uncorrected formation energy is -55 kJ/mol of formula units.